LiYAl2Fe: relaxed, PBE.

Lattice parameters (Å, degrees): 4.376 4.377 4.376 90.00 90.00 90.00
Atoms (fractional coordinates):
Y: 0.500 0.500 0.500
Li: 0.000 0.000 0.000
Fe: 0.000 0.500 0.000
Al: 0.000 0.000 0.500
Al: 0.500 0.000 0.000

## Properties
- Calculated total energy: -4.574 eV per atom
- N(E_F): 1.11 states/eV per atom
- Total moment: 0.0000 μB per atom
- Space-group type: No. 123

GdTmTcAg: relaxed, PBE.

Lattice parameters (Å, degrees): 4.959 4.959 4.959 60.00 60.00 60.00
Last column: magnetic moment on the atom in μB.
Atoms (fractional coordinates):
Gd: 0.000 0.000 0.000  7.05
Tc: 0.750 0.750 0.750  -0.11
Tm: 0.500 0.500 0.500  0.00
Ag: 0.250 0.250 0.250  0.01

## Properties
- Calculated total energy: -8.065 eV per atom
- N(E_F): 0.68 states/eV per atom
- Total moment: 1.7701 μB per atom
- Space-group type: No. 216